# BaTa2Al

An optimized crystal structure of BaTa2Al (GGA-PBEsol, the Alexandria database).

Geometry as POSCAR:
```
BaTa2Al
1.0
10.245 0.000 0.000
0.000 2.994 0.000
-0.912 0.000 5.980
Ba Ta Al
2 4 2
direct
0.000 0.000 0.000
0.500 0.500 0.000
0.225 0.000 0.673
0.275 0.500 0.327
0.725 0.500 0.673
0.775 0.000 0.327
0.000 0.500 0.500
0.500 0.000 0.500
```

Properties
Uncorrected energy ... -58.01 eV per cell
V ... 22.93 Å³ per atom

# Ho5Co19P12

An optimized crystal structure of Ho5Co19P12 (GGA-PBEsol, the Alexandria database).

Geometry as POSCAR:
```
Ho5Co19P12
1.0
11.820 0.000 0.000
-5.910 10.236 0.000
0.000 0.000 3.612
Ho Co P
5 19 12
direct
0.000 0.187 0.000
0.187 0.000 0.000
0.333 0.667 0.500
0.667 0.333 0.500
0.813 0.813 0.000
0.000 0.000 0.500
0.000 0.553 0.500
0.000 0.715 0.000
0.125 0.484 0.000
0.178 0.801 0.500
0.199 0.378 0.500
0.285 0.285 0.000
0.358 0.875 0.000
0.378 0.199 0.500
0.447 0.447 0.500
0.484 0.125 0.000
0.516 0.642 0.000
0.553 0.000 0.500
0.622 0.822 0.500
0.642 0.516 0.000
0.715 0.000 0.000
0.801 0.178 0.500
0.822 0.622 0.500
0.875 0.358 0.000
0.000 0.368 0.500
0.000 0.819 0.500
0.165 0.685 0.000
0.181 0.181 0.500
0.315 0.480 0.000
0.368 0.000 0.500
0.480 0.315 0.000
0.520 0.835 0.000
0.632 0.632 0.500
0.685 0.165 0.000
0.819 0.000 0.500
0.835 0.520 0.000
```

Properties
Uncorrected energy ... -276.94 eV per cell
V ... 12.14 Å³ per atom

# Sr15Pd5O24

An optimized crystal structure of Sr15Pd5O24 (GGA-PBEsol, the Alexandria database).

Geometry as POSCAR:
```
Sr15Pd5O24
1.0
4.809 -4.814 0.000
4.809 4.814 0.000
-0.014 0.000 13.588
Sr Pd O
15 5 24
direct
0.000 0.000 0.000
0.128 0.867 0.751
0.130 0.498 0.933
0.132 0.502 0.436
0.133 0.872 0.249
0.263 0.370 0.185
0.271 0.368 0.679
0.498 0.868 0.564
0.502 0.870 0.067
0.630 0.737 0.815
0.632 0.729 0.321
0.633 0.367 0.000
0.758 0.235 0.743
0.765 0.242 0.257
0.990 0.010 0.500
0.381 0.118 0.874
0.382 0.120 0.376
0.630 0.370 0.500
0.880 0.618 0.624
0.882 0.619 0.126
0.096 0.178 0.837
0.100 0.180 0.339
0.163 0.694 0.596
0.166 0.692 0.095
0.306 0.837 0.404
0.308 0.834 0.905
0.322 0.193 0.017
0.331 0.197 0.517
0.438 0.041 0.732
0.443 0.050 0.234
0.456 0.403 0.843
0.463 0.402 0.356
0.597 0.544 0.157
0.598 0.537 0.644
0.664 0.071 0.417
0.667 0.059 0.910
0.803 0.669 0.483
0.807 0.678 0.983
0.820 0.900 0.661
0.822 0.904 0.163
0.929 0.336 0.583
0.941 0.333 0.090
0.950 0.557 0.766
0.959 0.562 0.268
```

Properties
Uncorrected energy ... -277.68 eV per cell
V ... 14.30 Å³ per atom
Formation energy from raw total energies ... -2143 meV/atom